Entry 1:
A geometry-optimized LaMoCl structure. Source: the Alexandria database, functional GGA-PBEsol.

```
12
Lattice="6.480 0.000 0.000 0.000 6.480 0.000 0.000 0.000 6.480" Properties=species:S:1:pos:R:3 pbc="T T T"
La 0.000 0.000 0.000
La 0.000 3.240 3.240
La 3.240 0.000 3.240
La 3.240 3.240 0.000
Mo 0.000 0.000 3.240
Mo 0.000 3.240 0.000
Mo 3.240 0.000 0.000
Mo 3.240 3.240 3.240
Cl 1.620 1.620 1.620
Cl 1.620 4.860 4.860
Cl 4.860 1.620 4.860
Cl 4.860 4.860 1.620
```

Summary:
**Space group**: F-43m
**Magnetic moment**: 2.37 μB per formula unit
**Formation energy without anion corrections**: 0.48 eV per atom


Entry 2:
A geometry-optimized AlGa2AgO structure. Source: the Alexandria database, functional GGA-PBEsol.

```
5
Lattice="4.717 0.000 0.000 0.000 4.717 0.000 0.000 0.000 4.748" Properties=species:S:1:pos:R:3 pbc="T T T"
Al 0.000 0.000 0.000
Ga 0.000 2.359 2.374
Ga 2.359 0.000 2.374
Ag 0.000 0.000 2.374
O 2.359 2.359 0.000
```

Summary:
**Space group**: P4/mmm
**Magnetic moment**: 0.00 μB per formula unit
**Formation energy without anion corrections**: 0.58 eV per atom


Question: formation energy without anion corrections of number 1 (LaMoCl)?
Answer: 0.48 eV per atom